# 1
VASP calculation (GGA-PBE) on CoPd2PtN after structural relaxation.

Calculated values
* formation energy without anion corrections: 1.2 eV per formula unit
* space group: P4/mmm
* total magnetic moment: 2.07 μB/cell

Cell lengths 4.2413, 4.2413, 3.6740 Å; angles 90.00, 90.00, 90.00 degrees
Positions (direct):
Co 0.0000 0.0000 0.0000
Pd 0.0000 0.5000 0.5000
Pd 0.5000 0.0000 0.5000
Pt 0.5000 0.5000 0.0000
N 0.0000 0.0000 0.5000

# 2
VASP calculation (GGA-PBE) on Dy2Ho5Cu4 after structural relaxation.

Calculated values
* E_form: 0.05 eV/atom
* space group: C2/m
* total magnetic moment: 0.00 μB/cell

Cell lengths 11.4637, 11.4637, 6.9000 Å; angles 99.47, 99.47, 18.25 degrees
Positions (direct):
Dy 0.0664 0.0664 0.1672
Dy 0.9336 0.9336 0.8328
Ho 0.1722 0.1722 0.6029
Ho 0.2080 0.2080 0.1263
Ho 0.5000 0.5000 0.5000
Ho 0.7920 0.7920 0.8737
Ho 0.8278 0.8278 0.3971
Cu 0.0603 0.0603 0.7696
Cu 0.3676 0.3676 0.1134
Cu 0.6324 0.6324 0.8866
Cu 0.9397 0.9397 0.2304

# 3
VASP calculation (GGA-PBE) on LaLuZr after structural relaxation.

Calculated values
* polymorph energy (0 for the lowest one): 0.000 eV/atom
* E_form: 0.10 eV/atom
* space group: I4mm
* total magnetic moment: 0.00 μB/cell

Cell lengths 3.3764, 3.3764, 15.3568 Å; angles 90.00, 90.00, 90.00 degrees
Positions (direct):
La 0.0000 0.0000 0.0000
La 0.5000 0.5000 0.5000
Lu 0.0000 0.0000 0.6892
Lu 0.5000 0.5000 0.1892
Zr 0.0000 0.0000 0.3330
Zr 0.5000 0.5000 0.8330

# 4
VASP calculation (GGA-PBE) on TbNdIr2 after structural relaxation.

Calculated values
* polymorph energy (0 for the lowest one): 0.030 eV/atom
* E_form: -0.65 eV/atom
* space group: Fm-3m
* total magnetic moment: 0.00 μB/cell

Cell lengths 6.9949, 6.9949, 6.9949 Å; angles 90.00, 90.00, 90.00 degrees
Positions (direct):
Tb 0.0000 0.0000 0.0000
Tb 0.0000 0.5000 0.5000
Tb 0.5000 0.0000 0.5000
Tb 0.5000 0.5000 0.0000
Nd 0.0000 0.0000 0.5000
Nd 0.0000 0.5000 0.0000
Nd 0.5000 0.0000 0.0000
Nd 0.5000 0.5000 0.5000
Ir 0.2500 0.2500 0.2500
Ir 0.2500 0.2500 0.7500
Ir 0.2500 0.7500 0.2500
Ir 0.2500 0.7500 0.7500
Ir 0.7500 0.2500 0.2500
Ir 0.7500 0.2500 0.7500
Ir 0.7500 0.7500 0.2500
Ir 0.7500 0.7500 0.7500

# 5
VASP calculation (GGA-PBE) on BaTbNd after structural relaxation.

Calculated values
* polymorph energy (0 for the lowest one): 0.012 eV/atom
* E_form: 0.17 eV/atom
* space group: P3m1
* total magnetic moment: 0.00 μB/cell

Cell lengths 3.8123, 3.8123, 9.4956 Å; angles 90.00, 90.00, 120.00 degrees
Positions (direct):
Ba 0.0000 0.0000 0.0000
Tb 0.6667 0.3333 0.3493
Nd 0.3333 0.6667 0.6406

# 6
VASP calculation (GGA-PBE) on LiZn2CdCo after structural relaxation.

Calculated values
* E_form: 0.58 eV/atom
* space group: P4/mmm
* total magnetic moment: 1.01 μB/cell

Cell lengths 4.3543, 4.3543, 4.1745 Å; angles 90.00, 90.00, 90.00 degrees
Positions (direct):
Li 0.0000 0.0000 0.0000
Zn 0.0000 0.5000 0.0000
Zn 0.5000 0.0000 0.0000
Cd 0.5000 0.5000 0.5000
Co 0.0000 0.0000 0.5000

# 7
VASP calculation (GGA-PBE) on FePbAu2 after structural relaxation.

Calculated values
* E_form: 0.32 eV/atom
* space group: F-43m
* total magnetic moment: 11.50 μB/cell

Cell lengths 6.7555, 6.7555, 6.7555 Å; angles 90.00, 90.00, 90.00 degrees
Positions (direct):
Fe 0.0000 0.0000 0.0000
Fe 0.0000 0.5000 0.5000
Fe 0.5000 0.0000 0.5000
Fe 0.5000 0.5000 0.0000
Pb 0.2500 0.2500 0.7500
Pb 0.2500 0.7500 0.2500
Pb 0.7500 0.2500 0.2500
Pb 0.7500 0.7500 0.7500
Au 0.0000 0.0000 0.5000
Au 0.0000 0.5000 0.0000
Au 0.2500 0.2500 0.2500
Au 0.2500 0.7500 0.7500
Au 0.5000 0.0000 0.0000
Au 0.5000 0.5000 0.5000
Au 0.7500 0.2500 0.7500
Au 0.7500 0.7500 0.2500

# 8
VASP calculation (GGA-PBE) on TiTl3S after structural relaxation.

Calculated values
* polymorph energy (0 for the lowest one): 0.000 eV/atom
* formation energy without anion corrections: 3.1 eV per formula unit
* space group: Pm-3m
* total magnetic moment: 3.07 μB/cell

Cell lengths 5.4934, 5.4934, 5.4934 Å; angles 90.00, 90.00, 90.00 degrees
Positions (direct):
Ti 0.0000 0.0000 0.0000
Tl 0.0000 0.0000 0.5000
Tl 0.0000 0.5000 0.0000
Tl 0.5000 0.0000 0.0000
S 0.5000 0.5000 0.5000